A plane-wave DFT calculation with meta-GGA SCAN was carried out for a PBEsol-optimized structure of SbC.

Geometry as extended XYZ:
```
4
Lattice="-2.182 -0.772 2.528 -2.440 -2.355 -0.501 2.740 -5.947 2.874" Properties=species:S:1:pos:R:3 pbc="T T T"
Sb -2.178 -3.119 1.815
Sb 0.296 -5.954 3.086
C 1.321 -4.320 2.145
C -3.203 -4.753 2.756
```

Output
Symmetry = No. 166
Formation energy from raw total energies = 1553 meV per atom
Polymorph energy (0 for the lowest one) = 33 meV/atom
N(E_F) = 0.8 states/eV/f.u.